This record from the Alexandria database describes a relaxed LaPm2TaN4 crystal. The functional is GGA-PBE.

- total magnetization (μB per formula unit) = 0.00
- calculated density (Mg/m³) = 8.22
- calculated total energy (eV/cell) = -138.5

Lattice parameters (Å, degrees): 6.415 6.415 12.467 90.00 90.00 148.38
Element x y z (fractional)
La: 0.095 0.905 0.750
La: 0.905 0.095 0.250
Pm: 0.370 0.630 0.535
Pm: 0.370 0.630 0.965
Pm: 0.630 0.370 0.035
Pm: 0.630 0.370 0.465
Ta: 0.166 0.834 0.250
Ta: 0.834 0.166 0.750
N: 0.000 0.000 0.000
N: 0.000 0.000 0.500
N: 0.264 0.736 0.128
N: 0.264 0.736 0.372
N: 0.429 0.571 0.750
N: 0.571 0.429 0.250
N: 0.736 0.264 0.628
N: 0.736 0.264 0.872